# Pm8GaSb3Te4

A relaxed structure of Pm8GaSb3Te4 (PBE, Alexandria).

* uncorrected energy: -86.24 eV for the cell shown
* formation energy from raw total energies: -1.27 eV/atom
* spin magnetization: 0.0 μB/f.u.

a = 8.943 Å, b = 8.943 Å, c = 8.943 Å
α = 59.86°, β = 59.86°, γ = 59.86°
Sites, in units of the cell vectors:
Pm  0.247  0.247  0.247
Pm  0.256  0.740  0.740
Pm  0.260  0.260  0.744
Pm  0.260  0.744  0.260
Pm  0.740  0.256  0.740
Pm  0.740  0.740  0.256
Pm  0.744  0.260  0.260
Pm  0.753  0.753  0.753
Ga  0.500  0.500  0.500
Sb  0.000  0.000  0.500
Sb  0.000  0.500  0.000
Sb  0.500  0.000  0.000
Te  0.000  0.000  0.000
Te  0.000  0.500  0.500
Te  0.500  0.000  0.500
Te  0.500  0.500  0.000


# Pm5Sc4Ga4

A relaxed structure of Pm5Sc4Ga4 (PBE, Alexandria).

* uncorrected energy: -66.24 eV for the cell shown
* spin magnetization: 0.0 μB/f.u.

a = 8.867 Å, b = 8.867 Å, c = 8.867 Å
α = 93.82°, β = 93.82°, γ = 150.09°
Sites, in units of the cell vectors:
Pm  0.000  0.000  0.000
Pm  0.300  0.622  0.923
Pm  0.378  0.300  0.678
Pm  0.622  0.700  0.322
Pm  0.700  0.378  0.077
Sc  0.099  0.413  0.513
Sc  0.413  0.901  0.314
Sc  0.587  0.099  0.686
Sc  0.901  0.587  0.487
Ga  0.072  0.750  0.822
Ga  0.250  0.072  0.322
Ga  0.750  0.928  0.678
Ga  0.928  0.250  0.178